The following is a PBE+U calculation of an optimized crystal structure of PmVFe2O8, from Alexandria via LeMat-Bulk.

```
data_PmVFe2O8
_space_group_name_H-M_alt 'P -3 m 1'
_space_group_IT_number 164
_space_group_name_Hall '-P 3 2"'
_cell_length_a 5.7518
_cell_length_b 5.7518
_cell_length_c 6.0045
_cell_angle_alpha 90.00
_cell_angle_beta 90.00
_cell_angle_gamma 120.00
loop_
_atom_site_label
_atom_site_type_symbol
_atom_site_fract_x
_atom_site_fract_y
_atom_site_fract_z
_atom_site_occupancy
Pm1 Pm 0.0000 0.0000 0.0000 1
V1 V 0.0000 0.0000 0.5000 1
Fe1 Fe 0.3333 0.6667 0.5918 1
O1 O 0.1517 0.3034 0.6947 1
O2 O 0.3333 0.6667 0.2902 1
```

The uncorrected energy is -6.72 eV per atom. The value obtained for the magnetization is 8.00 μB/cell.